(1)
This record from the Alexandria database describes a relaxed U6Co12Ge4C crystal. The functional is PBE-GGA.

total magnetic moment: 0.29 μB/f.u.
raw total energy: -188.96 eV/cell
space-group type: Im-3m
calculated volume: 14.2 Å³ per atom

Cell lengths 7.5183, 7.5183, 7.5183 Å; angles 109.47, 109.47, 109.47 degrees
With the nearest neighbours (Å) after each atom.
Fractional positions:
U 0.0000 0.2789 0.2789  1 C 2.42, 4 Co 2.65
U 0.0000 0.7211 0.7211  1 C 2.42, 4 Co 2.65
U 0.2789 0.0000 0.2789  1 C 2.42, 4 Co 2.65
U 0.2789 0.2789 0.0000  1 C 2.42, 4 Co 2.65
U 0.7211 0.0000 0.7211  1 C 2.42, 4 Co 2.65
U 0.7211 0.7211 0.0000  1 C 2.42, 4 Co 2.65
Co 0.0000 0.3513 0.6487  2 Ge 2.50, 6 Co 2.54-2.58, 2 U 2.65
Co 0.0000 0.6487 0.3513  2 Ge 2.50, 6 Co 2.54-2.58, 2 U 2.65
Co 0.2973 0.6487 0.6487  2 Ge 2.50, 6 Co 2.54-2.58, 2 U 2.65
Co 0.3513 0.0000 0.6487  2 Ge 2.50, 6 Co 2.54-2.58, 2 U 2.65
Co 0.3513 0.3513 0.7027  2 Ge 2.50, 6 Co 2.54-2.58, 2 U 2.65
Co 0.3513 0.6487 0.0000  2 Ge 2.50, 6 Co 2.54-2.58, 2 U 2.65
Co 0.3513 0.7027 0.3513  2 Ge 2.50, 6 Co 2.54-2.58, 2 U 2.65
Co 0.6487 0.0000 0.3513  2 Ge 2.50, 6 Co 2.54-2.58, 2 U 2.65
Co 0.6487 0.2973 0.6487  2 Ge 2.50, 6 Co 2.54-2.58, 2 U 2.65
Co 0.6487 0.3513 0.0000  2 Ge 2.50, 6 Co 2.54-2.58, 2 U 2.65
Co 0.6487 0.6487 0.2973  2 Ge 2.50, 6 Co 2.54-2.58, 2 U 2.65
Co 0.7027 0.3513 0.3513  2 Ge 2.50, 6 Co 2.54-2.58, 2 U 2.65
Ge 0.0000 0.0000 0.5000  6 Co 2.50
Ge 0.0000 0.5000 0.0000  6 Co 2.50
Ge 0.5000 0.0000 0.0000  6 Co 2.50
Ge 0.5000 0.5000 0.5000  6 Co 2.50
C 0.0000 0.0000 0.0000  6 U 2.42

(2)
This record from the Alexandria database describes a relaxed ScBeGa2 crystal. The functional is PBE-GGA.

total magnetic moment: 0.00 μB/f.u.
raw total energy: -17.29 eV/cell
space-group type: R-3m
calculated volume: 16.2 Å³ per atom

Cell lengths 5.3505, 5.3505, 5.3505 Å; angles 43.10, 43.10, 43.10 degrees
With the nearest neighbours (Å) after each atom.
Fractional positions:
Sc 0.0000 0.0000 0.0000  6 Ga 2.81
Be 0.5000 0.5000 0.5000  6 Ga 2.40
Ga 0.2195 0.2195 0.2195  3 Be 2.40
Ga 0.7805 0.7805 0.7805  3 Be 2.40

(3)
This record from the Alexandria database describes a relaxed Li4Si23 crystal. The functional is PBE-GGA.

total magnetic moment: 0.00 μB/f.u.
raw total energy: -262.49 eV/cell
formation energy without anion corrections: 110 kJ/mol of formula units
space-group type: Pm-3n
calculated volume: 19.5 Å³ per atom

Cell lengths 10.1777, 10.1777, 10.1777 Å; angles 90.00, 90.00, 90.00 degrees
With the nearest neighbours (Å) after each atom.
Fractional positions:
Li 0.0000 0.0000 0.0000  20 Si 3.24-3.36
Li 0.0000 0.2500 0.5000  20 Si 3.42-3.78
Li 0.0000 0.7500 0.5000  20 Si 3.42-3.78
Li 0.2500 0.5000 0.0000  20 Si 3.42-3.78
Li 0.5000 0.0000 0.2500  20 Si 3.42-3.78
Li 0.5000 0.0000 0.7500  20 Si 3.42-3.78
Li 0.5000 0.5000 0.5000  20 Si 3.24-3.36
Li 0.7500 0.5000 0.0000  20 Si 3.42-3.78
Si 0.0000 0.3085 0.1166  4 Si 2.36-2.38
Si 0.0000 0.3085 0.8834  4 Si 2.36-2.38
Si 0.0000 0.5000 0.2500  4 Si 2.38
Si 0.0000 0.5000 0.7500  4 Si 2.38
Si 0.0000 0.6915 0.1166  4 Si 2.36-2.38
Si 0.0000 0.6915 0.8834  4 Si 2.36-2.38
Si 0.1166 0.0000 0.3085  4 Si 2.36-2.38
Si 0.1166 0.0000 0.6915  4 Si 2.36-2.38
Si 0.1838 0.1838 0.1838  4 Si 2.33-2.36
Si 0.1838 0.1838 0.8162  4 Si 2.33-2.36
Si 0.1838 0.8162 0.1838  4 Si 2.33-2.36
Si 0.1838 0.8162 0.8162  4 Si 2.33-2.36
Si 0.1915 0.5000 0.3834  4 Si 2.36-2.38
Si 0.1915 0.5000 0.6166  4 Si 2.36-2.38
Si 0.2500 0.0000 0.5000  4 Si 2.38
Si 0.3085 0.1166 0.0000  4 Si 2.36-2.38
Si 0.3085 0.8834 0.0000  4 Si 2.36-2.38
Si 0.3162 0.3162 0.3162  4 Si 2.33-2.36
Si 0.3162 0.3162 0.6838  4 Si 2.33-2.36
Si 0.3162 0.6838 0.3162  4 Si 2.33-2.36
Si 0.3162 0.6838 0.6838  4 Si 2.33-2.36
Si 0.3834 0.1915 0.5000  4 Si 2.36-2.38
Si 0.3834 0.8085 0.5000  4 Si 2.36-2.38
Si 0.5000 0.2500 0.0000  4 Si 2.38
Si 0.5000 0.3834 0.1915  4 Si 2.36-2.38
Si 0.5000 0.3834 0.8085  4 Si 2.36-2.38
Si 0.5000 0.6166 0.1915  4 Si 2.36-2.38
Si 0.5000 0.6166 0.8085  4 Si 2.36-2.38
Si 0.5000 0.7500 0.0000  4 Si 2.38
Si 0.6166 0.1915 0.5000  4 Si 2.36-2.38
Si 0.6166 0.8085 0.5000  4 Si 2.36-2.38
Si 0.6838 0.3162 0.3162  4 Si 2.33-2.36
Si 0.6838 0.3162 0.6838  4 Si 2.33-2.36
Si 0.6838 0.6838 0.3162  4 Si 2.33-2.36
Si 0.6838 0.6838 0.6838  4 Si 2.33-2.36
Si 0.6915 0.1166 0.0000  4 Si 2.36-2.38
Si 0.6915 0.8834 0.0000  4 Si 2.36-2.38
Si 0.7500 0.0000 0.5000  4 Si 2.38
Si 0.8085 0.5000 0.3834  4 Si 2.36-2.38
Si 0.8085 0.5000 0.6166  4 Si 2.36-2.38
Si 0.8162 0.1838 0.1838  4 Si 2.33-2.36
Si 0.8162 0.1838 0.8162  4 Si 2.33-2.36
Si 0.8162 0.8162 0.1838  4 Si 2.33-2.36
Si 0.8162 0.8162 0.8162  4 Si 2.33-2.36
Si 0.8834 0.0000 0.3085  4 Si 2.36-2.38
Si 0.8834 0.0000 0.6915  4 Si 2.36-2.38

(4)
This record from the Alexandria database describes a relaxed KSrSi2 crystal. The functional is PBE-GGA.

total magnetic moment: 0.00 μB/f.u.
raw total energy: -12.56 eV/cell
formation energy without anion corrections: 103 kJ/mol of formula units
space-group type: Cmmm
calculated volume: 25.9 Å³ per atom

Cell lengths 5.8575, 5.8575, 3.2471 Å; angles 90.00, 90.00, 111.57 degrees
With the nearest neighbours (Å) after each atom.
Fractional positions:
K 0.0000 0.0000 0.0000  2 K 3.25, 2 Sr 3.29, 8 Si 3.35
Sr 0.5000 0.5000 0.0000  2 Sr 3.25, 2 K 3.29, 8 Si 3.35
Si 0.0000 0.5000 0.5000  4 Si 3.25-3.29, 4 Sr 3.35, 4 K 3.35
Si 0.5000 0.0000 0.5000  4 Si 3.25-3.29, 4 Sr 3.35, 4 K 3.35

What did the second record say?
This record from the Alexandria database describes a relaxed ScBeGa2 crystal. The functional is PBE-GGA.

total magnetic moment: 0.00 μB/f.u.
raw total energy: -17.29 eV/cell
space-group type: R-3m
calculated volume: 16.2 Å³ per atom

Cell lengths 5.3505, 5.3505, 5.3505 Å; angles 43.10, 43.10, 43.10 degrees
With the nearest neighbours (Å) after each atom.
Fractional positions:
Sc 0.0000 0.0000 0.0000  6 Ga 2.81
Be 0.5000 0.5000 0.5000  6 Ga 2.40
Ga 0.2195 0.2195 0.2195  3 Be 2.40
Ga 0.7805 0.7805 0.7805  3 Be 2.40

- Number 1 is which compound?
  U6Co12Ge4C